# MgZnTc2

A relaxed MgZnTc2 crystal (PBE-GGA, the Open Quantum Materials Database).

abc: 4.369 4.369 4.369
angles: 60.00 60.00 60.00
Element x y z (fractional)
1 Mg 0.000 0.000 0.000
2 Zn 0.750 0.750 0.750
3 Tc 0.250 0.250 0.250
4 Tc 0.500 0.500 0.500

Calculated values
**Space-group type**: No. 216
**Total DFT energy (no corrections)**: -5.868 eV per atom
**ρ**: 8046 kg/m3

# GdHoZr

A relaxed GdHoZr crystal (PBE-GGA, the Open Quantum Materials Database).

abc: 5.178 5.178 5.178
angles: 60.00 60.00 60.00
Element x y z (fractional)
1 Gd 0.000 0.000 0.000
2 Ho 0.250 0.250 0.250
3 Zr 0.500 0.500 0.500

Calculated values
**Space-group type**: No. 216
**ρ**: 6995 kg/m3
**Energy of formation from the pure elements**: 942 meV/atom

# ErScAl2Pd4

A relaxed ErScAl2Pd4 crystal (PBE-GGA, the Open Quantum Materials Database).

abc: 4.314 4.314 8.886
angles: 90.00 90.00 120.00
Element x y z (fractional)
1 Er 0.000 0.000 0.000
2 Sc 0.333 0.667 0.500
3 Al 0.667 0.333 0.259
4 Al 0.667 0.333 0.741
5 Pd 0.000 0.000 0.340
6 Pd 0.000 0.000 0.660
7 Pd 0.333 0.667 0.172
8 Pd 0.333 0.667 0.828

Calculated values
**Space-group type**: No. 187
**Total DFT energy (no corrections)**: -5.819 eV per atom
**ρ**: 8020 kg/m3

# GdY3Ni4

A relaxed GdY3Ni4 crystal (PBE-GGA, the Open Quantum Materials Database).

abc: 5.430 4.186 7.064
angles: 90.00 90.01 90.00
Element x y z (fractional)
1 Gd 0.000 0.000 0.000
2 Y 0.260 0.500 0.641
3 Y 0.500 0.500 0.141
4 Y 0.760 0.000 0.500
5 Ni 0.006 0.500 0.282
6 Ni 0.255 0.000 0.358
7 Ni 0.505 0.000 0.858
8 Ni 0.755 0.500 0.782

Calculated values
**Space-group type**: No. 6
**ρ**: 6812 kg/m3
**Energy of formation from the pure elements**: -437 meV/atom

# LiZnP

A relaxed LiZnP crystal (PBE-GGA, the Open Quantum Materials Database).

abc: 6.545 3.908 7.121
angles: 90.00 90.00 90.00
Element x y z (fractional)
1 Li 0.024 0.250 0.170
2 Li 0.476 0.750 0.670
3 Li 0.524 0.250 0.330
4 Li 0.976 0.750 0.830
5 Zn 0.148 0.250 0.569
6 Zn 0.352 0.750 0.069
7 Zn 0.648 0.250 0.931
8 Zn 0.852 0.750 0.431
9 P 0.236 0.750 0.388
10 P 0.264 0.250 0.888
11 P 0.736 0.750 0.112
12 P 0.764 0.250 0.612

Calculated values
**Space-group type**: No. 62
**Total DFT energy (no corrections)**: -3.360 eV per atom
**ρ**: 3768 kg/m3

# ZrBe

A relaxed ZrBe crystal (PBE-GGA, the Open Quantum Materials Database).

abc: 3.503 4.039 9.011
angles: 90.00 90.00 90.00
Element x y z (fractional)
1 Zr 0.250 0.250 0.076
2 Zr 0.250 0.750 0.305
3 Zr 0.750 0.250 0.695
4 Zr 0.750 0.750 0.924
5 Be 0.250 0.250 0.493
6 Be 0.250 0.750 0.644
7 Be 0.750 0.250 0.356
8 Be 0.750 0.750 0.507

Calculated values
**Space-group type**: No. 59
**Total DFT energy (no corrections)**: -6.047 eV per atom
**ρ**: 5221 kg/m3

# PrAgSO

A relaxed PrAgSO crystal (PBE-GGA, the Open Quantum Materials Database).

abc: 5.967 7.310 6.805
angles: 90.00 99.12 90.00
Element x y z (fractional)
1 Pr 0.118 0.091 0.248
2 Pr 0.118 0.409 0.748
3 Pr 0.882 0.591 0.252
4 Pr 0.882 0.909 0.752
5 Ag 0.423 0.704 0.482
6 Ag 0.423 0.796 0.982
7 Ag 0.577 0.204 0.018
8 Ag 0.577 0.296 0.518
9 S 0.359 0.062 0.696
10 S 0.359 0.438 0.196
11 S 0.641 0.562 0.804
12 S 0.641 0.938 0.304
13 O 0.051 0.689 0.563
14 O 0.051 0.811 0.063
15 O 0.949 0.189 0.937
16 O 0.949 0.311 0.437

Calculated values
**Space-group type**: No. 14
**Total DFT energy (no corrections)**: -5.879 eV per atom
**ρ**: 6727 kg/m3

# CoAgHgPb

A relaxed CoAgHgPb crystal (PBE-GGA, the Open Quantum Materials Database).

abc: 4.776 4.776 4.776
angles: 60.00 60.00 60.00
Element x y z (fractional)
1 Co 0.000 0.000 0.000
2 Ag 0.500 0.500 0.500
3 Hg 0.250 0.250 0.250
4 Pb 0.750 0.750 0.750

Calculated values
**Space-group type**: No. 216
**Energy above the most stable polymorph in this dataset**: 0.0000 eV per atom
**ρ**: 12388 kg/m3

# SmGdAl2Pd4

A relaxed SmGdAl2Pd4 crystal (PBE-GGA, the Open Quantum Materials Database).

abc: 4.392 4.392 9.281
angles: 90.00 90.00 120.00
Element x y z (fractional)
1 Sm 0.000 0.000 0.000
2 Gd 0.667 0.333 0.500
3 Al 0.333 0.667 0.253
4 Al 0.333 0.667 0.747
5 Pd 0.000 0.000 0.330
6 Pd 0.000 0.000 0.670
7 Pd 0.667 0.333 0.176
8 Pd 0.667 0.333 0.824

Calculated values
**Space-group type**: No. 187
**Total DFT energy (no corrections)**: -5.616 eV per atom
**ρ**: 8433 kg/m3

# PrYNO

A relaxed PrYNO crystal (PBE-GGA, the Open Quantum Materials Database).

abc: 6.874 8.302 5.107
angles: 90.00 90.00 90.00
Element x y z (fractional)
1 Pr 0.080 0.130 0.000
2 Pr 0.420 0.130 0.500
3 Pr 0.580 0.870 0.000
4 Pr 0.920 0.870 0.500
5 Y 0.076 0.620 0.999
6 Y 0.424 0.620 0.499
7 Y 0.576 0.380 0.999
8 Y 0.924 0.380 0.499
9 N 0.062 0.137 0.500
10 N 0.438 0.137 0.000
11 N 0.562 0.863 0.500
12 N 0.938 0.863 0.000
13 O 0.097 0.615 0.501
14 O 0.403 0.615 0.001
15 O 0.597 0.385 0.501
16 O 0.903 0.385 0.001

Calculated values
**Space-group type**: No. 29
**Energy above the most stable polymorph in this dataset**: 0.0738 eV per atom
**ρ**: 5921 kg/m3

# NaTl2Cd

A relaxed NaTl2Cd crystal (PBE-GGA, the Open Quantum Materials Database).

abc: 3.583 3.583 8.501
angles: 90.00 90.00 90.00
Element x y z (fractional)
1 Na 0.000 0.000 0.000
2 Tl 0.500 0.500 0.265
3 Tl 0.500 0.500 0.735
4 Cd 0.000 0.000 0.500

Calculated values
**Space-group type**: No. 123
**Energy above the most stable polymorph in this dataset**: 0.0118 eV per atom
**ρ**: 8281 kg/m3

# HfSnO3

A relaxed HfSnO3 crystal (PBE-GGA, the Open Quantum Materials Database).

abc: 6.874 6.874 6.874
angles: 46.62 46.62 46.62
Element x y z (fractional)
1 Hf 0.166 0.166 0.166
2 Hf 0.834 0.834 0.834
3 Sn 0.381 0.381 0.381
4 Sn 0.619 0.619 0.619
5 O 0.091 0.791 0.440
6 O 0.209 0.560 0.909
7 O 0.440 0.091 0.791
8 O 0.560 0.909 0.209
9 O 0.791 0.440 0.091
10 O 0.909 0.209 0.560

Calculated values
**Space-group type**: No. 148
**Total DFT energy (no corrections)**: -8.313 eV per atom
**ρ**: 7314 kg/m3

# ZnTe2Pb2F2

A relaxed ZnTe2Pb2F2 crystal (PBE-GGA, the Open Quantum Materials Database).

abc: 4.174 4.174 9.573
angles: 90.00 90.00 90.00
Element x y z (fractional)
1 Zn 0.000 0.000 0.000
2 Te 0.000 0.500 0.827
3 Te 0.500 0.000 0.173
4 Pb 0.000 0.500 0.344
5 Pb 0.500 0.000 0.656
6 F 0.000 0.000 0.500
7 F 0.500 0.500 0.500

Calculated values
**Space-group type**: No. 115
**Total DFT energy (no corrections)**: -3.857 eV per atom
**ρ**: 7696 kg/m3

# SiTc2W

A relaxed SiTc2W crystal (PBE-GGA, the Open Quantum Materials Database).

abc: 4.379 4.379 7.527
angles: 90.00 90.00 120.00
Element x y z (fractional)
1 Si 0.333 0.667 0.250
2 Si 0.667 0.333 0.750
3 Tc 0.333 0.667 0.591
4 Tc 0.333 0.667 0.909
5 Tc 0.667 0.333 0.091
6 Tc 0.667 0.333 0.409
7 W 0.000 0.000 0.000
8 W 0.000 0.000 0.500

Calculated values
**Space-group type**: No. 194
**Total DFT energy (no corrections)**: -9.507 eV per atom
**ρ**: 10836 kg/m3

# Ba3Nd4O9

A relaxed Ba3Nd4O9 crystal (PBE-GGA, the Open Quantum Materials Database).

abc: 9.503 9.503 9.503
angles: 38.52 38.52 38.52
Element x y z (fractional)
1 Ba 0.000 0.000 0.000
2 Ba 0.168 0.168 0.168
3 Ba 0.589 0.589 0.589
4 Nd 0.302 0.302 0.302
5 Nd 0.429 0.429 0.429
6 Nd 0.739 0.739 0.739
7 Nd 0.866 0.866 0.866
8 O 0.041 0.433 0.607
9 O 0.122 0.555 0.740
10 O 0.170 0.997 0.585
11 O 0.433 0.607 0.041
12 O 0.555 0.740 0.122
13 O 0.585 0.170 0.997
14 O 0.607 0.041 0.433
15 O 0.740 0.122 0.555
16 O 0.997 0.585 0.170

Calculated values
**Space-group type**: No. 146
**Total DFT energy (no corrections)**: -7.335 eV per atom
**ρ**: 6289 kg/m3

# HfAg2Mo

A relaxed HfAg2Mo crystal (PBE-GGA, the Open Quantum Materials Database).

abc: 4.674 4.674 4.674
angles: 60.00 60.00 60.00
Element x y z (fractional)
1 Hf 0.000 0.000 0.000
2 Ag 0.250 0.250 0.250
3 Ag 0.500 0.500 0.500
4 Mo 0.750 0.750 0.750

Calculated values
**Space-group type**: No. 216
**ρ**: 11272 kg/m3
**Energy of formation from the pure elements**: 458 meV/atom

# LiH2Au

A relaxed LiH2Au crystal (PBE-GGA, the Open Quantum Materials Database).

abc: 3.180 3.180 9.487
angles: 90.00 90.00 120.00
Element x y z (fractional)
1 Li 0.000 0.000 0.000
2 Li 0.000 0.000 0.500
3 H 0.333 0.667 0.075
4 H 0.333 0.667 0.425
5 H 0.667 0.333 0.575
6 H 0.667 0.333 0.925
7 Au 0.333 0.667 0.250
8 Au 0.667 0.333 0.750

Calculated values
**Space-group type**: No. 194
**Total DFT energy (no corrections)**: -3.222 eV per atom
**ρ**: 8231 kg/m3

# HfNiBW

A relaxed HfNiBW crystal (PBE-GGA, the Open Quantum Materials Database).

abc: 4.313 4.313 4.313
angles: 60.00 60.00 60.00
Element x y z (fractional)
1 Hf 0.000 0.000 0.000
2 Ni 0.500 0.500 0.500
3 B 0.250 0.250 0.250
4 W 0.750 0.750 0.750

Calculated values
**Space-group type**: No. 216
**Energy above the most stable polymorph in this dataset**: 0.7094 eV per atom
**ρ**: 12636 kg/m3

# ZrSi2Pt

A relaxed ZrSi2Pt crystal (PBE-GGA, the Open Quantum Materials Database).

abc: 3.678 4.894 7.403
angles: 90.00 90.00 90.00
Element x y z (fractional)
1 Zr 0.000 0.107 0.000
2 Zr 0.000 0.893 0.500
3 Si 0.000 0.399 0.623
4 Si 0.000 0.601 0.123
5 Si 0.500 0.095 0.731
6 Si 0.500 0.905 0.231
7 Pt 0.500 0.399 0.326
8 Pt 0.500 0.601 0.826

Calculated values
**Space-group type**: No. 26
**Total DFT energy (no corrections)**: -6.926 eV per atom
**ρ**: 8535 kg/m3

# ScTaAsO

A relaxed ScTaAsO crystal (PBE-GGA, the Open Quantum Materials Database).

abc: 3.860 3.860 8.651
angles: 90.00 90.00 90.00
Element x y z (fractional)
1 Sc 0.250 0.250 0.109
2 Sc 0.750 0.750 0.891
3 Ta 0.250 0.750 0.500
4 Ta 0.750 0.250 0.500
5 As 0.250 0.250 0.713
6 As 0.750 0.750 0.287
7 O 0.250 0.750 0.000
8 O 0.750 0.250 0.000

Calculated values
**Space-group type**: No. 129
**Energy above the most stable polymorph in this dataset**: 0.0000 eV per atom
**ρ**: 8165 kg/m3

# SrAlZnGa2

A relaxed SrAlZnGa2 crystal (PBE-GGA, the Open Quantum Materials Database).

abc: 6.378 6.378 6.378
angles: 140.43 140.43 57.20
Element x y z (fractional)
1 Sr 0.000 0.000 0.000
2 Al 0.250 0.750 0.500
3 Zn 0.750 0.250 0.500
4 Ga 0.385 0.385 0.000
5 Ga 0.615 0.615 0.000

Calculated values
**Space-group type**: No. 119
**Total DFT energy (no corrections)**: -2.933 eV per atom
**ρ**: 5080 kg/m3

# PrAlGaPdAu

A relaxed PrAlGaPdAu crystal (PBE-GGA, the Open Quantum Materials Database).

abc: 4.371 4.371 10.565
angles: 90.00 90.00 90.00
Element x y z (fractional)
1 Pr 0.250 0.250 0.246
2 Pr 0.750 0.750 0.754
3 Al 0.250 0.750 0.500
4 Al 0.750 0.250 0.500
5 Ga 0.250 0.250 0.876
6 Ga 0.750 0.750 0.124
7 Pd 0.250 0.750 0.000
8 Pd 0.750 0.250 0.000
9 Au 0.250 0.250 0.632
10 Au 0.750 0.750 0.368

Calculated values
**Space-group type**: No. 129
**Energy above the most stable polymorph in this dataset**: 0.0000 eV per atom
**ρ**: 8902 kg/m3

# CdSnAu

A relaxed CdSnAu crystal (PBE-GGA, the Open Quantum Materials Database).

abc: 4.438 4.438 8.564
angles: 90.00 90.00 120.00
Element x y z (fractional)
1 Cd 0.333 0.667 0.000
2 Cd 0.667 0.333 0.500
3 Sn 0.333 0.667 0.336
4 Sn 0.667 0.333 0.836
5 Au 0.000 0.000 0.186
6 Au 0.000 0.000 0.686

Calculated values
**Space-group type**: No. 186
**Total DFT energy (no corrections)**: -2.674 eV per atom
**ρ**: 9732 kg/m3

# ZrSi2Hg

A relaxed ZrSi2Hg crystal (PBE-GGA, the Open Quantum Materials Database).

abc: 4.780 4.780 4.780
angles: 60.00 60.00 60.00
Element x y z (fractional)
1 Zr 0.000 0.000 0.000
2 Si 0.250 0.250 0.250
3 Si 0.500 0.500 0.500
4 Hg 0.750 0.750 0.750

Calculated values
**Space-group type**: No. 216
**Total DFT energy (no corrections)**: -4.575 eV per atom
**ρ**: 7484 kg/m3

# LuNiAgAs

A relaxed LuNiAgAs crystal (PBE-GGA, the Open Quantum Materials Database).

abc: 4.638 4.638 4.638
angles: 60.00 60.00 60.00
Element x y z (fractional)
1 Lu 0.000 0.000 0.000
2 Ni 0.500 0.500 0.500
3 Ag 0.750 0.750 0.750
4 As 0.250 0.250 0.250

Calculated values
**Space-group type**: No. 216
**Total DFT energy (no corrections)**: -4.689 eV per atom
**ρ**: 9805 kg/m3